A relaxed KSc4Pt crystal. Source: the Alexandria database, functional GGA-PBE.

Structure (POSCAR):
```
KSc4Pt
1.0
0.0000 4.2093 4.2093
4.2093 0.0000 4.2093
4.2093 4.2093 0.0000
K Sc Pt
1 4 1
Direct
0.0000 0.0000 0.0000 K
0.3780 0.3780 0.3780 Sc
0.3780 0.3780 0.8661 Sc
0.3780 0.8661 0.3780 Sc
0.8661 0.3780 0.3780 Sc
0.7500 0.7500 0.7500 Pt
```

Total energy = -4.9113 eV per atom
SG = F-43m, No. 216
DFT formation energy = 0.499 eV/atom